Computed, not measured: Li4NbFe3O8 after structural relaxation at the PBE+U level of DFT.

Lattice parameters (Å, degrees): 5.1568 5.7539 6.5842 88.87 89.85 89.70
Last column: nearest neighbours and their distance in Å.
Element x y z (fractional)
Li (0.0055, 0.0849, 0.3834)  4 O 1.96-2.08
Li (0.5028, 0.4279, 0.8714)  4 O 1.95-2.11
Li (0.0052, 0.5620, 0.1285)  4 O 1.96-2.15
Li (0.5038, 0.9046, 0.6215)  4 O 1.96-2.09
Nb (0.4961, 0.9151, 0.1217)  4 O 1.89
Fe (0.0247, 0.1005, 0.8451)  4 O 1.96-2.17
Fe (0.4898, 0.4211, 0.3982)  4 O 1.95-2.14
Fe (0.0050, 0.5860, 0.6280)  4 O 1.90-1.93
O (0.6118, 0.0746, 0.8852)  1 Nb 1.89, 2 Li 2.09-2.11
O (0.6086, 0.0744, 0.3531)  1 Nb 1.89, 2 Li 2.06-2.07, 1 Fe 2.11
O (0.1178, 0.4281, 0.8720)  2 Fe 1.92-1.96, 2 Li 1.96-1.99
O (0.1053, 0.4155, 0.3909)  2 Fe 1.93-1.98, 2 Li 1.97-1.98
O (0.6353, 0.5850, 0.6284)  2 Fe 1.91-1.95, 2 Li 1.95-1.96
O (0.6113, 0.6032, 0.1284)  1 Nb 1.89, 2 Li 2.04-2.07
O (0.1203, 0.8996, 0.6201)  2 Fe 1.90-1.96, 2 Li 1.96-1.98
O (0.1303, 0.9174, 0.1242)  1 Nb 1.89, 1 Li 2.08

Results
spin magnetization = 13.01 μB/f.u.
energy relative to the lowest polymorph listed for this composition = 11 meV per atom
density of states at the Fermi level = 0.00 states/eV/cell